Record 1
Compound: BaAuO3
Source: Alexandria via LeMat-Bulk
Functional: PBEsol
Structure: relaxed

The space group is Pm-3m (No. 221) and the conventional cell measures 4.5099, 4.5099 and 4.5099 Å, with angles of 90.00, 90.00 and 90.00 degrees. The distinct sites, in fractional coordinates, are Ba at (0.0000, 0.0000, 0.0000), Au at (0.5000, 0.5000, 0.5000) and O at (0.0000, 0.0000, 0.5000).

As for the total magnetization: 0.10 μB/atom. The calculation puts the density of states at the Fermi level at 7.5 states/eV per cell. The formation energy (no corrections) comes out at 0.441 eV per atom. Its total energy is -3.92 eV/atom.



Record 2
Compound: KGa2Ge2
Source: Alexandria via LeMat-Bulk
Functional: PBEsol
Structure: relaxed

The space group is I4/mmm (No. 139) and the conventional cell measures 4.6318, 4.6318 and 10.1233 Å, with angles of 90.00, 90.00 and 90.00 degrees. The distinct sites, in fractional coordinates, are K at (0.0000, 0.0000, 0.0000), Ga at (0.0000, 0.5000, 0.2500) and Ge at (0.0000, 0.0000, 0.3741).

Its formation energy is -0.141 eV/atom. As for the total magnetization: 0.00 μB/atom. The calculation puts the density of states at the Fermi level at 2.3 states/eV per cell. Its total energy is -3.68 eV/atom.



Record 3
Compound: ZrMo2
Source: Alexandria via LeMat-Bulk
Functional: PBEsol
Structure: relaxed

The space group is P6_3/mmc (No. 194) and the conventional cell measures 5.3353, 5.3353 and 17.2974 Å, with angles of 90.00, 90.00 and 120.00 degrees. The distinct sites, in fractional coordinates, are Zr at (0.0000, 0.0000, 0.0949), Zr at (0.3333, 0.6667, 0.1563), Mo at (0.0000, 0.5000, 0.0000), Mo at (0.1639, 0.3279, 0.7500) and Mo at (0.3333, 0.6667, 0.6234).

Its formation energy is -0.116 eV/atom. As for the total magnetization: 0.00 μB/atom. The calculation puts the density of states at the Fermi level at 14.3 states/eV per cell. For the distance to the lowest polymorph of the same formula, the calculation gives 10 meV per atom. Its total energy is -10.99 eV/atom.



Record 4
Compound: Ti2SbRuF
Source: Alexandria via LeMat-Bulk
Functional: PBEsol
Structure: relaxed

The space group is P4/mmm (No. 123) and the conventional cell measures 4.0544, 4.0544 and 4.4816 Å, with angles of 90.00, 90.00 and 90.00 degrees. The distinct sites, in fractional coordinates, are Ti at (0.0000, 0.5000, 0.0000), Sb at (0.0000, 0.0000, 0.5000), Ru at (0.5000, 0.5000, 0.5000) and F at (0.5000, 0.5000, 0.0000).

As for the total magnetization: 0.00 μB/atom. The calculation puts the density of states at the Fermi level at 5.4 states/eV per cell. The formation energy (no corrections) comes out at -0.444 eV per atom. Its total energy is -7.10 eV/atom.



Record 5
Compound: SrCa4P3O12F
Source: Alexandria via LeMat-Bulk
Functional: PBEsol
Structure: relaxed

The space group is P6_3 (No. 173) and the conventional cell measures 9.3810, 9.3810 and 6.9659 Å, with angles of 90.00, 90.00 and 120.00 degrees. The distinct sites, in fractional coordinates, are Sr at (0.3333, 0.6667, 0.0000), Ca at (0.0067, 0.2473, 0.2503), Ca at (0.3333, 0.6667, 0.5003), P at (0.0280, 0.3928, 0.7523), O at (0.0762, 0.3246, 0.5769), O at (0.0966, 0.3518, 0.9334), O at (0.1138, 0.5833, 0.7332), O at (0.1609, 0.6852, 0.2660) and F at (0.0000, 0.0000, 0.2696).

As for the total magnetization: 0.00 μB/atom. The calculation puts the density of states at the Fermi level at 0.0 states/eV per cell. The formation energy (no corrections) comes out at -3.037 eV per atom. Its total energy is -7.45 eV/atom.



Record 6
Compound: Sr2FeWO6
Source: Alexandria via LeMat-Bulk
Functional: PBEsol
Structure: relaxed

The space group is I4/m (No. 87) and the conventional cell measures 5.4515, 5.4515 and 7.7100 Å, with angles of 90.00, 90.00 and 90.00 degrees. The distinct sites, in fractional coordinates, are Sr at (0.0000, 0.5000, 0.2500), Fe at (0.0000, 0.0000, 0.0000), W at (0.0000, 0.0000, 0.5000), O at (0.0000, 0.0000, 0.2493) and O at (0.2473, 0.2512, 0.0000).

As for the total magnetization: 0.00 μB/atom. The formation energy (no corrections) comes out at -2.382 eV per atom. Its total energy is -8.18 eV/atom.



Record 7
Compound: K2TcPt
Source: Alexandria via LeMat-Bulk
Functional: PBEsol
Structure: relaxed

The space group is P4/mmm (No. 123) and the conventional cell measures 3.8834, 3.8834 and 5.4810 Å, with angles of 90.00, 90.00 and 90.00 degrees. The distinct sites, in fractional coordinates, are K at (0.0000, 0.5000, 0.0000), Tc at (0.0000, 0.0000, 0.5000) and Pt at (0.5000, 0.5000, 0.5000).

Its formation energy is 1.009 eV/atom. As for the total magnetization: 0.50 μB/atom. The calculation puts the density of states at the Fermi level at 3.5 states/eV per cell. For the distance to the lowest polymorph of the same formula, the calculation gives 532 meV per atom. Its total energy is -4.12 eV/atom.



Record 8
Compound: LiAlGeIr2
Source: Alexandria via LeMat-Bulk
Functional: PBEsol
Structure: relaxed

The space group is P4/mmm (No. 123) and the conventional cell measures 4.1980, 4.1980 and 3.9663 Å, with angles of 90.00, 90.00 and 90.00 degrees. The distinct sites, in fractional coordinates, are Li at (0.0000, 0.0000, 0.0000), Al at (0.5000, 0.5000, 0.5000), Ge at (0.0000, 0.0000, 0.5000) and Ir at (0.0000, 0.5000, 0.0000).

Its formation energy is 0.529 eV/atom. As for the total magnetization: 0.00 μB/atom. The calculation puts the density of states at the Fermi level at 1.8 states/eV per cell. Its total energy is -5.60 eV/atom.



Record 9
Compound: YBAs3
Source: Alexandria via LeMat-Bulk
Functional: PBEsol
Structure: relaxed

The space group is Pm-3m (No. 221) and the conventional cell measures 4.4766, 4.4766 and 4.4766 Å, with angles of 90.00, 90.00 and 90.00 degrees. The distinct sites, in fractional coordinates, are Y at (0.0000, 0.0000, 0.0000), B at (0.5000, 0.5000, 0.5000) and As at (0.0000, 0.5000, 0.5000).

Its formation energy is 0.073 eV/atom. As for the total magnetization: 0.00 μB/atom. The calculation puts the density of states at the Fermi level at 2.8 states/eV per cell. Its total energy is -5.76 eV/atom.



Record 10
Compound: Be2TlP
Source: Alexandria via LeMat-Bulk
Functional: PBEsol
Structure: relaxed

The space group is Pm (No. 6) and the conventional cell measures 3.4688, 3.5023 and 5.8130 Å, with angles of 90.00, 107.41 and 90.00 degrees. The distinct sites, in fractional coordinates, are Be at (0.0000, 0.0000, 0.0000), Be at (0.4927, 0.5000, 0.9850), Tl at (0.8068, 0.5000, 0.6177) and P at (0.6020, 0.0000, 0.2033).

Its formation energy is 0.213 eV/atom. As for the total magnetization: 0.00 μB/atom. The calculation puts the density of states at the Fermi level at 1.3 states/eV per cell. For the distance to the lowest polymorph of the same formula, the calculation gives 0 meV per atom. Its total energy is -3.89 eV/atom.



Record 11
Compound: Co3O2F4
Source: Alexandria via LeMat-Bulk
Functional: PBEsol
Structure: relaxed

The space group is C2 (No. 5) and the conventional cell measures 8.8846, 6.1476 and 7.3856 Å, with angles of 90.00, 116.91 and 90.00 degrees. The distinct sites, in fractional coordinates, are Co at (0.0000, 0.0000, 0.0000), Co at (0.0000, 0.0032, 0.5000), Co at (0.1596, 0.5020, 0.6591), Co at (0.1694, 0.5359, 0.1654), O at (0.0000, 0.3055, 0.5000), O at (0.0000, 0.7007, 0.5000), O at (0.1691, 0.8229, 0.1674), F at (0.0664, 0.5106, 0.8662), F at (0.0931, 0.0109, 0.8123), F at (0.1708, 0.2158, 0.1687) and F at (0.2314, 0.0101, 0.5331).

As for the total magnetization: 0.64 μB/atom. The calculation puts the density of states at the Fermi level at 25.1 states/eV per cell. The formation energy (no corrections) comes out at -1.416 eV per atom. For the distance to the lowest polymorph of the same formula, the calculation gives 0 meV per atom. Its total energy is -6.02 eV/atom.



Record 12
Compound: TaNiIr
Source: Alexandria via LeMat-Bulk
Functional: PBEsol
Structure: relaxed

The space group is I4mm (No. 107) and the conventional cell measures 3.1974, 3.1974 and 8.2912 Å, with angles of 90.00, 90.00 and 90.00 degrees. The distinct sites, in fractional coordinates, are Ta at (0.0000, 0.0000, 0.0000), Ni at (0.0000, 0.0000, 0.3456) and Ir at (0.0000, 0.0000, 0.6706).

Its formation energy is -0.404 eV/atom. As for the total magnetization: 0.00 μB/atom. The calculation puts the density of states at the Fermi level at 2.4 states/eV per cell. For the distance to the lowest polymorph of the same formula, the calculation gives 30 meV per atom. Its total energy is -9.91 eV/atom.



Q: Which value of total magnetization does entry 5 give?
A: 0.00 μB/atom